# 1
{"formula": "SrCu3Sn4O12", "functional": "PBEsol", "state": "relaxed", "raw_formation_energy_mev_per_atom": -1460, "cell": [[6.6703, 0.0000, 0.0000], [-2.2234, 6.2888, 0.0000], [-2.2234, -3.1444, 5.4463]], "species": ["O", "O", "Cu", "Sr", "O", "Sn", "Sn", "Cu", "O", "O", "O", "O", "O", "Sn", "O", "Cu", "Sn", "O", "O", "O"], "frac_coords": [[0.6899, 0.5193, 0.8293], [0.6899, 0.8606, 0.1707], [0.5000, 0.5000, 0.0000], [0.0000, 0.0000, 0.0000], [0.8606, 0.1707, 0.6899], [0.5000, 0.5000, 0.5000], [0.0000, 0.0000, 0.5000], [0.0000, 0.5000, 0.5000], [0.1707, 0.3101, 0.4807], [0.3101, 0.4807, 0.1707], [0.8293, 0.3101, 0.1394], [0.3101, 0.1394, 0.8293], [0.4807, 0.1707, 0.3101], [0.0000, 0.5000, 0.0000], [0.1707, 0.6899, 0.8606], [0.5000, 0.0000, 0.5000], [0.5000, 0.0000, 0.0000], [0.8293, 0.6899, 0.5193], [0.1394, 0.8293, 0.3101], [0.5193, 0.8293, 0.6899]]}

***

# 2
{"formula": "RbBeCd3", "functional": "PBEsol", "state": "relaxed", "delta_e_f_ev_per_atom": 1.37, "cell": [[6.4211, 0.0000, 0.0000], [0.0000, 6.4211, 0.0000], [0.0000, 0.0000, 6.4211]], "species": ["Rb", "Cd", "Cd", "Be", "Cd"], "frac_coords": [[0.0000, 0.0000, 0.0000], [0.0000, 0.5000, 0.0000], [0.5000, 0.0000, 0.0000], [0.5000, 0.5000, 0.5000], [0.0000, 0.0000, 0.5000]]}

***

# 3
{"formula": "MoOs2Rh", "functional": "PBEsol", "state": "relaxed", "delta_e_f_ev_per_atom": 0.42, "cell": [[-3.7704, 0.2470, -2.1223], [-2.9256, -3.1715, 0.4037], [-3.6747, 0.7072, 2.1858]], "species": ["Rh", "Os", "Os", "Mo"], "frac_coords": [[0.5000, 0.5000, 0.5000], [0.2500, 0.2500, 0.2500], [0.7500, 0.7500, 0.7500], [0.0000, 0.0000, 0.0000]]}